Here is a geometry-optimized NdYPu structure from Alexandria. Energies are from PBE.

```
3
Lattice="3.580 0.000 0.000 -1.790 3.100 0.000 0.000 0.000 8.640" Properties=species:S:1:pos:R:3 pbc="T T T"
Nd 0.000 0.000 0.000
Y 1.790 1.033 2.960
Pu 0.000 2.067 5.772
```

Properties
Excess energy over the best structure of this formula in the dataset: 1.2 kJ per mole of atoms
Symmetry: P3m1 (156)
DOS at the Fermi energy: 8.6 states/eV/cell
E: -8.38 eV/atom

=====

Here is a geometry-optimized Nd6Y8Pu structure from Alexandria. Energies are from PBE.

```
15
Lattice="4.570 2.638 6.943 -4.570 2.638 6.943 0.000 -5.277 6.943" Properties=species:S:1:pos:R:3 pbc="T T T"
Nd -3.104 -1.161 9.554
Nd -0.546 -3.268 11.276
Nd -2.557 2.107 11.276
Nd 2.557 -2.107 9.554
Nd 0.546 3.268 9.554
Nd 3.104 1.161 11.276
Y 0.000 0.000 1.597
Y -0.196 -1.987 7.499
Y -1.622 1.163 7.499
Y -1.819 -0.823 13.332
Y 1.819 0.823 7.499
Y 1.622 -1.163 13.332
Y 0.196 1.987 13.332
Y 0.000 0.000 19.233
Pu 0.000 0.000 10.415
```

Properties
Symmetry: R-3 (148)
DOS at the Fermi energy: 21.3 states/eV/cell
E: -6.20 eV/atom

=====

Here is a geometry-optimized NdYPu2 structure from Alexandria. Energies are from PBE.

```
4
Lattice="4.882 0.000 0.000 0.000 4.882 0.000 0.000 0.000 5.077" Properties=species:S:1:pos:R:3 pbc="T T T"
Nd 0.000 0.000 0.000
Y 2.441 2.441 0.000
Pu 0.000 2.441 2.538
Pu 2.441 0.000 2.538
```

Properties
Symmetry: P4/mmm (123)
DOS at the Fermi energy: 16.1 states/eV/cell
E: -9.76 eV/atom

=====

Here is a geometry-optimized Nd7Y4Pu structure from Alexandria. Energies are from PBE.

```
12
Lattice="5.736 -2.906 0.000 5.736 2.906 0.000 -5.255 0.000 12.354" Properties=species:S:1:pos:R:3 pbc="T T T"
Nd 0.000 0.000 0.000
Nd -2.378 0.000 11.231
Nd 1.452 0.000 5.747
Nd 0.188 0.000 8.992
Nd 6.028 0.000 3.362
Nd 4.765 0.000 6.606
Nd 8.594 0.000 1.122
Y -3.243 0.000 7.838
Y 2.532 0.000 2.529
Y 3.684 0.000 9.824
Y 9.460 0.000 4.516
Pu 5.736 0.000 0.000
```

Properties
Symmetry: C2/m (12)
DOS at the Fermi energy: 19.3 states/eV/cell
E: -5.88 eV/atom

=====

Here is a geometry-optimized Nd4Y7Pu structure from Alexandria. Energies are from PBE.

```
12
Lattice="8.237 -2.938 0.000 8.237 2.938 0.000 -4.778 0.000 8.178" Properties=species:S:1:pos:R:3 pbc="T T T"
Nd -0.677 0.000 3.752
Nd 2.665 0.000 2.252
Nd 9.030 0.000 5.927
Nd 12.372 0.000 4.427
Y 0.000 0.000 0.000
Y -0.827 0.000 7.276
Y 2.349 0.000 5.590
Y 5.936 0.000 2.244
Y 5.758 0.000 5.935
Y 9.345 0.000 2.588
Y 12.522 0.000 0.902
Pu 8.237 0.000 0.000
```

Properties
Symmetry: C2/m (12)
DOS at the Fermi energy: 25.5 states/eV/cell
E: -6.10 eV/atom

=====

Here is a geometry-optimized NdPuZn4 structure from Alexandria. Energies are from PBE.

```
6
Lattice="-2.081 2.081 7.705 2.081 -2.081 7.705 2.081 2.081 -7.705" Properties=species:S:1:pos:R:3 pbc="T T T"
Nd 0.000 0.000 0.000
Pu 2.081 0.000 3.853
Zn 0.000 0.000 6.433
Zn 0.000 0.000 8.977
Zn 0.000 2.081 2.599
Zn 0.000 2.081 5.106
```

Properties
Excess energy over the best structure of this formula in the dataset: 5.1 kJ per mole of atoms
Symmetry: I-4m2 (119)
DOS at the Fermi energy: 13.7 states/eV/cell
E: -4.18 eV/atom

=====

Here is a geometry-optimized NdPu2Zn structure from Alexandria. Energies are from PBE.

```
4
Lattice="4.450 0.000 0.000 0.000 4.450 0.000 0.000 0.000 5.169" Properties=species:S:1:pos:R:3 pbc="T T T"
Nd 0.000 0.000 0.000
Pu 0.000 2.225 2.584
Pu 2.225 0.000 2.584
Zn 2.225 2.225 0.000
```

Properties
Excess energy over the best structure of this formula in the dataset: 0.0 kJ per mole of atoms
Symmetry: P4/mmm (123)
DOS at the Fermi energy: 11.6 states/eV/cell
E: -8.61 eV/atom

=====

Here is a geometry-optimized NdPuZn2 structure from Alexandria. Energies are from PBE.

```
4
Lattice="0.000 3.636 3.636 3.636 0.000 3.636 3.636 3.636 0.000" Properties=species:S:1:pos:R:3 pbc="T T T"
Nd 0.000 0.000 0.000
Pu 3.636 3.636 3.636
Zn 1.818 1.818 1.818
Zn 5.454 5.454 5.454
```

Properties
Excess energy over the best structure of this formula in the dataset: 1.9 kJ per mole of atoms
Symmetry: Fm-3m (225)
DOS at the Fermi energy: 7.5 states/eV/cell
E: -5.56 eV/atom

=====

Q: Which of these has the highest E?
A: NdPuZn4